Record 1
The following is a DFT calculation (GGA-PBE) of a relaxed structure of HgBiAs2.

Cell: 5.136 5.136 5.136 Å, 60.00 60.00 60.00°
Atoms (fractional coordinates):
As  0.250  0.250  0.250
As  0.750  0.750  0.750
Bi  0.500  0.500  0.500
Hg  0.000  0.000  0.000

Calculated values
Formation energy from the elements, eV/atom: 0.329
V, Å³ per atom: 24.0
Spin magnetization, μB/f.u.: 0.0

=====

Record 2
The following is a DFT calculation (GGA-PBE) of a relaxed structure of HgBi2As.

Cell: 6.698 6.698 8.264 Å, 66.09 66.09 90.00°
Atoms (fractional coordinates):
As  0.500  0.500  0.000
As  0.250  0.750  0.500
Bi  0.611  0.125  0.250
Bi  0.139  0.625  0.250
Bi  0.375  0.389  0.750
Bi  0.875  0.861  0.750
Hg  0.000  0.000  0.000
Hg  0.750  0.250  0.500

Calculated values
Formation energy from the elements, eV/atom: 0.218
V, Å³ per atom: 38.0
Spin magnetization, μB/f.u.: 0.0

=====

Record 3
The following is a DFT calculation (GGA-PBE) of a relaxed structure of Hg2Bi2As.

Cell: 4.053 4.053 9.381 Å, 77.53 77.53 90.00°
Atoms (fractional coordinates):
As  0.000  0.000  0.000
Bi  0.415  0.415  0.170
Bi  0.585  0.585  0.830
Hg  0.750  0.250  0.500
Hg  0.250  0.750  0.500

Calculated values
Formation energy from the elements, eV/atom: 0.199
V, Å³ per atom: 29.3
Spin magnetization, μB/f.u.: 0.0

=====

Record 4
The following is a DFT calculation (GGA-PBE) of a relaxed structure of HgBi2As.

Cell: 3.875 3.875 7.652 Å, 90.00 90.00 90.00°
Atoms (fractional coordinates):
As  0.500  0.500  0.000
Bi  0.000  0.000  0.798
Bi  0.000  0.000  0.202
Hg  0.500  0.500  0.500

Calculated values
Formation energy from the elements, eV/atom: 0.145
V, Å³ per atom: 28.7
Spin magnetization, μB/f.u.: 0.0

=====

Record 5
The following is a DFT calculation (GGA-PBE) of a relaxed structure of HgBiAs2.

Cell: 4.150 4.150 7.160 Å, 73.15 73.15 60.00°
Atoms (fractional coordinates):
As  0.245  0.245  0.264
As  0.755  0.755  0.736
Bi  0.000  0.000  0.000
Hg  0.500  0.500  0.500

Calculated values
Formation energy from the elements, eV/atom: 0.152
V, Å³ per atom: 25.2
Spin magnetization, μB/f.u.: 0.0

=====

Record 6
The following is a DFT calculation (GGA-PBE) of a relaxed structure of HgBiAs3.

Cell: 5.186 5.186 5.186 Å, 90.00 90.00 90.00°
Atoms (fractional coordinates):
As  0.000  0.500  0.000
As  0.000  0.000  0.500
As  0.500  0.000  0.000
Bi  0.500  0.500  0.500
Hg  0.000  0.000  0.000

Calculated values
Formation energy from the elements, eV/atom: 0.887
V, Å³ per atom: 27.9
Spin magnetization, μB/f.u.: 0.0

=====

Record 7
The following is a DFT calculation (GGA-PBE) of a relaxed structure of HgBiAs.

Cell: 6.125 4.157 7.010 Å, 107.25 89.84 90.00°
Atoms (fractional coordinates):
Bi  0.750  0.176  0.352
Bi  0.250  0.824  0.648
Hg  0.750  0.484  0.968
Hg  0.250  0.516  0.032
As  0.749  0.823  0.646
As  0.251  0.177  0.354

Calculated values
Formation energy from the elements, eV/atom: 0.055
V, Å³ per atom: 28.4
Spin magnetization, μB/f.u.: 0.0

=====

Record 8
The following is a DFT calculation (GGA-PBE) of a relaxed structure of HgBiAs2.

Cell: 6.369 6.369 7.884 Å, 66.17 66.17 90.00°
Atoms (fractional coordinates):
As  0.608  0.125  0.250
As  0.142  0.625  0.250
As  0.375  0.392  0.750
As  0.875  0.858  0.750
Bi  0.000  0.000  0.000
Bi  0.750  0.250  0.500
Hg  0.500  0.500  0.000
Hg  0.250  0.750  0.500

Calculated values
Formation energy from the elements, eV/atom: 0.198
V, Å³ per atom: 32.8
Spin magnetization, μB/f.u.: 0.0